This record from Alexandria describes crystalline LaDy2Tl3Se6 at its relaxed geometry. The functional is PBE.

The structure belongs to space group C2/m (No. 12); the cell edges are 7.3922, 12.7945 and 8.1301 Å and the angles 90.00°, 107.63° and 90.00°. The distinct sites, in fractional coordinates, are La at (0.0000, 0.0000, 0.0000), Dy at (0.0000, 0.3333, 0.0000), Tl at (0.0000, 0.1648, 0.5000), Tl at (0.0000, 0.5000, 0.5000), Se at (0.2230, 0.5000, 0.2046) and Se at (0.2418, 0.1727, 0.2073).

Its final energy is -59.03 eV/f.u.